No. 1
Ca2MnInO5 | PBE with a Hubbard U | optimized geometry

Cell: 6.674 6.674 11.016 Å, 90.00 90.00 151.08°
Element x y z (fractional)
Ca  0.083  0.917  0.500
Ca  0.150  0.850  0.130
Ca  0.850  0.150  0.630
Ca  0.917  0.083  0.000
Mn  0.468  0.532  0.273
Mn  0.532  0.468  0.773
In  0.221  0.779  0.861
In  0.779  0.221  0.361
O  0.057  0.943  0.877
O  0.263  0.737  0.498
O  0.317  0.683  0.233
O  0.384  0.616  0.819
O  0.491  0.509  0.605
O  0.509  0.491  0.105
O  0.616  0.384  0.319
O  0.683  0.317  0.733
O  0.737  0.263  0.998
O  0.943  0.057  0.377

Properties
The space group is No. 36. The value obtained for the energy is -6.481 eV/atom.

***

No. 2
CaMnIn4O8 | PBE with a Hubbard U | optimized geometry

Cell: 6.529 6.529 6.529 Å, 60.56 60.56 60.56°
Element x y z (fractional)
Ca  0.000  0.000  0.000
Mn  0.625  0.625  0.625
In  0.115  0.624  0.624
In  0.243  0.243  0.243
In  0.624  0.115  0.624
In  0.624  0.624  0.115
O  0.378  0.378  0.378
O  0.379  0.379  0.844
O  0.379  0.844  0.379
O  0.412  0.860  0.860
O  0.844  0.379  0.379
O  0.860  0.412  0.860
O  0.860  0.860  0.412
O  0.861  0.861  0.861

Properties
The space group is No. 160. The value obtained for the energy is -6.058 eV/atom.

***

Question: Which formula does entry 2 have?
Answer: CaMnIn4O8

***

Question: Which formula does entry 2 have?
Answer: CaMnIn4O8